Entry 1:
The following is a GGA-PBE calculation of crystalline ScMnOs2 at its relaxed geometry, from Alexandria.

Computed properties:
The density of states at the Fermi level is 3.659 states/eV per cell. As for the energy relative to the elements: 45 meV/atom. The value obtained for the magnetic moment is 2.5 μB/f.u. The calculated density comes out at 13161 kg/m³.

Unit cell a=2.818 b=4.379 c=5.008 alpha=90.00 beta=101.24 gamma=90.00
Sites, in units of the cell vectors:
Sc  0.000  0.000  0.000
Mn  0.616  0.500  0.211
Os  0.222  0.500  0.687
Os  0.575  0.000  0.492


Entry 2:
The following is a GGA-PBE calculation of crystalline Tb2PrHoTe6 at its relaxed geometry, from Alexandria.

Computed properties:
The value obtained for the magnetic moment is 0.0 μB/f.u. The calculated density comes out at 6205 kg/m³. The calculation puts the formation energy without anion corrections at -1.37 eV per atom.

Unit cell a=8.383 b=8.383 c=8.383 alpha=55.37 beta=55.37 gamma=55.37
Sites, in units of the cell vectors:
Tb  0.000  0.000  0.000
Tb  0.497  0.497  0.497
Pr  0.189  0.189  0.189
Ho  0.685  0.685  0.685
Te  0.091  0.407  0.773
Te  0.279  0.890  0.607
Te  0.407  0.773  0.091
Te  0.607  0.279  0.890
Te  0.773  0.091  0.407
Te  0.890  0.607  0.279


Entry 3:
The following is a GGA-PBE calculation of crystalline BaNa2Sn at its relaxed geometry, from Alexandria.

Computed properties:
The density of states at the Fermi level is 7.193 states/eV per cell. As for the energy relative to the elements: -112 meV/atom. The value obtained for the magnetic moment is 0.0 μB/f.u. The calculated density comes out at 3201 kg/m³.

Unit cell a=12.408 b=12.408 c=12.408 alpha=156.10 beta=156.10 gamma=34.06
Sites, in units of the cell vectors:
Ba  0.000  0.000  0.000
Ba  0.750  0.250  0.500
Na  0.208  0.625  0.083
Na  0.375  0.458  0.583
Na  0.542  0.125  0.917
Na  0.875  0.792  0.417
Sn  0.250  0.750  0.500
Sn  0.500  0.500  0.000